Record 1
Entry from Alexandria: a relaxed Ca2CuRe crystal (GGA-PBE).

```
data_Ca2CuRe
_symmetry_space_group_name_H-M 'I 4/m m m'
_symmetry_Int_Tables_number 139
_symmetry_space_group_name_Hall '-I 4 2'
_cell_length_a 4.404
_cell_length_b 4.404
_cell_length_c 8.571
_cell_angle_alpha 90.00
_cell_angle_beta 90.00
_cell_angle_gamma 90.00
loop_
_atom_site_label
_atom_site_fract_x
_atom_site_fract_y
_atom_site_fract_z
Ca1 0.000 0.500 0.250
Cu1 0.000 0.000 0.000
Re1 0.000 0.000 0.500
```

Record 2
Entry from Alexandria: a relaxed Ca2CuRe crystal (GGA-PBE).

```
data_Ca2CuRe
_symmetry_space_group_name_H-M 'R -3 m'
_symmetry_Int_Tables_number 166
_symmetry_space_group_name_Hall '-R 3 2"'
_cell_length_a 3.1253
_cell_length_b 3.1253
_cell_length_c 29.2686
_cell_angle_alpha 90.00
_cell_angle_beta 90.00
_cell_angle_gamma 120.00
loop_
_atom_site_label
_atom_site_fract_x
_atom_site_fract_y
_atom_site_fract_z
Ca1 0.0000 0.0000 0.2502
Cu1 0.0000 0.0000 0.0000
Re1 0.0000 0.0000 0.5000
```

Record 3
Entry from Alexandria: a relaxed CaCu2Re crystal (GGA-PBE).

```
data_CaCu2Re
_symmetry_space_group_name_H-M 'C 1 2/m 1'
_symmetry_Int_Tables_number 12
_symmetry_space_group_name_Hall '-C 2y'
_cell_length_a 8.952
_cell_length_b 2.668
_cell_length_c 5.765
_cell_angle_alpha 90.00
_cell_angle_beta 96.27
_cell_angle_gamma 90.00
loop_
_atom_site_label
_atom_site_fract_x
_atom_site_fract_y
_atom_site_fract_z
Ca1 0.000 0.000 0.000
Cu1 0.240 0.000 0.681
Re1 0.000 0.500 0.500
```

Record 4
Entry from Alexandria: a relaxed CaCuRe crystal (GGA-PBE).

```
data_CaCuRe
_symmetry_space_group_name_H-M 'F -4 3 m'
_symmetry_Int_Tables_number 216
_symmetry_space_group_name_Hall 'F -4 2 3'
_cell_length_a 6.309
_cell_length_b 6.309
_cell_length_c 6.309
_cell_angle_alpha 90.00
_cell_angle_beta 90.00
_cell_angle_gamma 90.00
loop_
_atom_site_label
_atom_site_fract_x
_atom_site_fract_y
_atom_site_fract_z
Ca1 0.000 0.000 0.000
Cu1 0.250 0.250 0.250
Re1 0.000 0.000 0.500
```

| no. | polymorph energy (0 for the lowest one) (meV/atom) |
| --- | --- |
| 1 | 285 |
| 2 | 283 |
| 3 | 68 |
| 4 | 956 |